PBE SrInAu, relaxed; uncorrected energy = -3.044 eV per atom; space group = I4mm, No. 107; spin magnetization = 0.00 μB per cell; density = 8.11 g/cm3
1.0
3.800 0.000 0.000
0.000 3.800 0.000
-1.900 -1.900 5.665
Sr In Au
1 1 1
Direct
0.992 0.992 0.985
0.696 0.696 0.392
0.312 0.312 0.623